Record 1
Computed, not measured: a PBEsol-optimized structure of LaAlSe at the SCAN level of DFT.

abc: 3.622 3.622 6.492
angles: 90.00 90.00 120.00
Positions (direct):
Al1 0.000 0.000 0.056
Se1 0.333 0.667 0.295
La1 0.667 0.333 0.649

Properties
Its density of states at the Fermi level is 0.7248 states/eV per atom. The space group is No. 156. The calculation puts the formation energy without anion corrections at -0.70 eV per atom. The calculation puts the total energy at -24.347 eV/atom. As for the polymorph energy (0 for the lowest one): 0.0 meV per atom.

Record 2
Computed, not measured: a PBEsol-optimized structure of LaAlSe2 at the SCAN level of DFT.

abc: 3.688 3.753 6.794
angles: 90.00 90.00 90.00
Positions (direct):
Al1 0.500 0.000 0.000
Se1 0.000 0.000 0.738
Se2 0.000 0.000 0.262
La1 0.500 0.500 0.500

Properties
Its density of states at the Fermi level is 0.2102 states/eV per atom. The space group is No. 47. The calculation puts the formation energy without anion corrections at -1.22 eV per atom. The calculation puts the total energy at -23.976 eV/atom. As for the polymorph energy (0 for the lowest one): 322.4 meV per atom.

Record 3
Computed, not measured: a PBEsol-optimized structure of LaAlSi4 at the SCAN level of DFT.

abc: 5.292 5.292 5.292
angles: 60.00 60.00 60.00
Positions (direct):
Si1 0.378 0.378 0.378
Si2 0.378 0.378 0.867
Si3 0.867 0.378 0.378
Si4 0.378 0.867 0.378
Al1 0.750 0.750 0.750
La1 0.000 0.000 0.000

Properties
Its density of states at the Fermi level is 0.4893 states/eV per atom. The space group is No. 216. The calculation puts the formation energy without anion corrections at 0.01 eV per atom. The calculation puts the total energy at -15.143 eV/atom.

Record 4
Computed, not measured: a PBEsol-optimized structure of LaAl2Si at the SCAN level of DFT.

abc: 4.009 4.577 5.576
angles: 108.60 90.00 115.97
Positions (direct):
Si1 0.729 0.458 0.137
Al1 0.005 0.010 0.011
Al2 0.271 0.541 0.855
La1 0.495 0.990 0.497

Properties
Its density of states at the Fermi level is 0.3421 states/eV per atom. The space group is No. 8. The calculation puts the formation energy without anion corrections at -0.38 eV per atom. The calculation puts the total energy at -17.533 eV/atom.

Record 5
Computed, not measured: a PBEsol-optimized structure of LaAl2Si at the SCAN level of DFT.

abc: 3.854 4.458 5.731
angles: 112.89 109.65 90.00
Positions (direct):
Si1 0.500 0.000 0.000
Al1 0.770 0.770 0.539
Al2 0.230 0.230 0.461
La1 0.000 0.500 0.000

Properties
Its density of states at the Fermi level is 0.3699 states/eV per atom. The space group is No. 71. The calculation puts the formation energy without anion corrections at -0.16 eV per atom. The calculation puts the total energy at -17.313 eV/atom.

Record 6
Computed, not measured: a PBEsol-optimized structure of LaAl2Si at the SCAN level of DFT.

abc: 3.215 3.723 6.747
angles: 90.00 90.00 90.00
Positions (direct):
Si1 0.500 0.500 0.812
Al1 0.000 0.000 0.987
Al2 0.500 0.500 0.190
La1 0.000 0.000 0.510

Properties
Its density of states at the Fermi level is 0.4821 states/eV per atom. The space group is No. 25. The calculation puts the formation energy without anion corrections at -0.24 eV per atom. The calculation puts the total energy at -17.396 eV/atom.

Record 7
Computed, not measured: a PBEsol-optimized structure of LaAlSi at the SCAN level of DFT.

abc: 4.268 4.268 7.911
angles: 105.65 105.65 90.00
Positions (direct):
Si1 0.084 0.584 0.167
Si2 0.834 0.834 0.667
Al1 0.917 0.417 0.834
Al2 0.667 0.667 0.334
La1 0.501 0.001 0.001
La2 0.251 0.251 0.501

Properties
Its density of states at the Fermi level is 0.1143 states/eV per atom. The space group is No. 109. The calculation puts the formation energy without anion corrections at -0.74 eV per atom. The calculation puts the total energy at -21.031 eV/atom.

Record 8
Computed, not measured: a PBEsol-optimized structure of LaAl2Si at the SCAN level of DFT.

abc: 2.985 5.331 6.047
angles: 115.76 103.64 91.43
Positions (direct):
Si1 0.500 0.000 0.000
Al1 0.500 0.500 0.500
Al2 0.000 0.000 0.500
La1 0.000 0.500 0.000

Properties
Its density of states at the Fermi level is 0.5546 states/eV per atom. The space group is No. 12. The calculation puts the formation energy without anion corrections at 0.07 eV per atom. The calculation puts the total energy at -17.087 eV/atom.

Record 9
Computed, not measured: a PBEsol-optimized structure of La3Al4Si6 at the SCAN level of DFT.

abc: 4.175 4.175 18.195
angles: 90.00 90.00 120.00
Positions (direct):
Si1 0.667 0.333 0.397
Si2 0.333 0.667 0.603
Si3 0.667 0.333 0.003
Si4 0.333 0.667 0.997
Si5 0.667 0.333 0.780
Si6 0.333 0.667 0.220
Al1 0.667 0.333 0.257
Al2 0.333 0.667 0.743
Al3 0.667 0.333 0.640
Al4 0.333 0.667 0.360
La1 0.000 0.000 0.887
La2 0.000 0.000 0.113
La3 0.000 0.000 0.500

Properties
Its density of states at the Fermi level is 0.3014 states/eV per atom. The space group is No. 164. The calculation puts the formation energy without anion corrections at -0.50 eV per atom. The calculation puts the total energy at -17.460 eV/atom.

Record 10
Computed, not measured: a PBEsol-optimized structure of La2AlSn2 at the SCAN level of DFT.

abc: 4.829 7.545 7.545
angles: 90.00 90.00 90.00
Positions (direct):
Al1 0.000 0.000 0.000
Al2 0.000 0.500 0.500
Sn1 0.000 0.365 0.865
Sn2 0.000 0.865 0.635
Sn3 0.000 0.635 0.135
Sn4 0.000 0.135 0.365
La1 0.500 0.174 0.674
La2 0.500 0.674 0.826
La3 0.500 0.826 0.326
La4 0.500 0.326 0.174

Properties
Its density of states at the Fermi level is 0.4847 states/eV per atom. The space group is No. 127. The calculation puts the total energy at -33.881 eV/atom. The formation enthalpy at 0 K comes out at -69 kJ/mol of atoms.

Record 11
Computed, not measured: a PBEsol-optimized structure of LaAl2SnTe at the SCAN level of DFT.

abc: 5.171 5.171 5.934
angles: 90.00 90.00 90.00
Positions (direct):
Al1 0.000 0.500 0.000
Al2 0.500 0.000 0.000
Te1 0.000 0.000 0.000
Sn1 0.500 0.500 0.500
La1 0.000 0.000 0.500

Properties
Its density of states at the Fermi level is 0.5511 states/eV per atom. The space group is No. 123. The calculation puts the formation energy without anion corrections at 0.30 eV per atom. The calculation puts the total energy at -26.055 eV/atom.

Record 12
Computed, not measured: a PBEsol-optimized structure of SrLa2Al at the SCAN level of DFT.

abc: 3.697 4.314 8.463
angles: 90.00 90.00 90.00
Positions (direct):
Sr1 0.500 0.500 0.000
Al1 0.500 0.500 0.500
La1 0.000 0.000 0.680
La2 0.000 0.000 0.320

Properties
Its density of states at the Fermi level is 0.9940 states/eV per atom. The space group is No. 47. The calculation puts the total energy at -29.163 eV/atom. The formation enthalpy at 0 K comes out at -10 kJ/mol of atoms.

Record 13
Computed, not measured: a PBEsol-optimized structure of SrLaAl2 at the SCAN level of DFT.

abc: 3.707 3.707 10.203
angles: 79.53 79.53 60.00
Positions (direct):
Sr1 0.000 0.000 0.000
Al1 0.248 0.248 0.255
Al2 0.752 0.752 0.745
La1 0.500 0.500 0.500

Properties
Its density of states at the Fermi level is 0.9570 states/eV per atom. The space group is No. 166. The calculation puts the total energy at -20.142 eV/atom. The formation enthalpy at 0 K comes out at 8 kJ/mol of atoms.

Record 14
Computed, not measured: a PBEsol-optimized structure of SrLa2Al at the SCAN level of DFT.

abc: 4.947 4.947 6.062
angles: 114.09 114.09 90.00
Positions (direct):
Sr1 0.500 0.500 0.000
Al1 0.000 0.000 0.000
La1 0.750 0.250 0.500
La2 0.250 0.750 0.500

Properties
Its density of states at the Fermi level is 1.0001 states/eV per atom. The space group is No. 139. The calculation puts the total energy at -29.081 eV/atom. The formation enthalpy at 0 K comes out at -2 kJ/mol of atoms.